(i)
# MnGa3N | the Alexandria database | PBE | optimized geometry
# Symmetry: Pm-3m, No. 221
data_MnGa3N
_chemical_formula_sum 'Mn1 Ga3 N1'
_cell_length_a 4.750
_cell_length_b 4.750
_cell_length_c 4.750
_cell_angle_alpha 90.00
_cell_angle_beta 90.00
_cell_angle_gamma 90.00
_symmetry_space_group_name_H-M 'P 1'
_symmetry_Int_Tables_number 1
_symmetry_space_group_name_Hall 'P 1'
loop_
_atom_site_label
_atom_site_type_symbol
_atom_site_fract_x
_atom_site_fract_y
_atom_site_fract_z
Mn1 Mn 0.000 0.000 0.000
Ga1 Ga 0.000 0.000 0.500
Ga2 Ga 0.000 0.500 0.000
Ga3 Ga 0.500 0.000 0.000
N1 N 0.500 0.500 0.500

(ii)
# MnGa3N | the Alexandria database | PBE | optimized geometry
# Symmetry: Pm-3m, No. 221
data_MnGa3N
_chemical_formula_sum 'Mn1 Ga3 N1'
_cell_length_a 4.192
_cell_length_b 4.192
_cell_length_c 4.192
_cell_angle_alpha 90.00
_cell_angle_beta 90.00
_cell_angle_gamma 90.00
_symmetry_space_group_name_H-M 'P 1'
_symmetry_Int_Tables_number 1
_symmetry_space_group_name_Hall 'P 1'
loop_
_atom_site_label
_atom_site_type_symbol
_atom_site_fract_x
_atom_site_fract_y
_atom_site_fract_z
Mn1 Mn 0.000 0.000 0.000
Ga1 Ga 0.000 0.500 0.500
Ga2 Ga 0.500 0.000 0.500
Ga3 Ga 0.500 0.500 0.000
N1 N 0.500 0.500 0.500

Most stable: (ii) (next structure +24.4 kJ/mol of atoms)

(i)
# MnGaSe2N | the Alexandria database | PBE | optimized geometry
# Symmetry: P4/mmm, No. 123
data_MnGaSe2N
_chemical_formula_sum 'Mn1 Ga1 Se2 N1'
_cell_length_a 5.040
_cell_length_b 5.040
_cell_length_c 3.475
_cell_angle_alpha 90.00
_cell_angle_beta 90.00
_cell_angle_gamma 90.00
_symmetry_space_group_name_H-M 'P 1'
_symmetry_Int_Tables_number 1
_symmetry_space_group_name_Hall 'P 1'
loop_
_atom_site_label
_atom_site_type_symbol
_atom_site_fract_x
_atom_site_fract_y
_atom_site_fract_z
Mn1 Mn 0.000 0.000 0.000
Ga1 Ga 0.500 0.500 0.500
Se1 Se 0.000 0.500 0.000
Se2 Se 0.500 0.000 0.000
N1 N 0.000 0.000 0.500

(ii)
# MnGaSe2N | the Alexandria database | PBE | optimized geometry
# Symmetry: P4/mmm, No. 123
data_MnGaSe2N
_chemical_formula_sum 'Mn1 Ga1 Se2 N1'
_cell_length_a 5.177
_cell_length_b 5.177
_cell_length_c 3.666
_cell_angle_alpha 90.00
_cell_angle_beta 90.00
_cell_angle_gamma 90.00
_symmetry_space_group_name_H-M 'P 1'
_symmetry_Int_Tables_number 1
_symmetry_space_group_name_Hall 'P 1'
loop_
_atom_site_label
_atom_site_type_symbol
_atom_site_fract_x
_atom_site_fract_y
_atom_site_fract_z
Mn1 Mn 0.000 0.000 0.000
Ga1 Ga 0.500 0.500 0.500
Se1 Se 0.000 0.500 0.500
Se2 Se 0.500 0.000 0.500
N1 N 0.500 0.500 0.000

Most stable: (i) (next structure +54.3 kJ/mol of atoms)